Arrangement 1

A plane-wave DFT calculation with PBE was carried out for a relaxed Ni2HgBr crystal.

The calculation puts the theoretical density at 8.04 g/cm³.

abc: 4.7631 4.7631 7.9884
angles: 72.66 72.66 90.00
Atoms (fractional coordinates):
Ni: 0.2254 0.6250 0.2500
Ni: 0.3750 0.4754 0.7500
Ni: 0.8750 0.7746 0.7500
Ni: 0.5246 0.1250 0.2500
Hg: 0.7500 0.2500 0.5000
Hg: 0.0000 0.0000 0.0000
Br: 0.2500 0.7500 0.5000
Br: 0.5000 0.5000 0.0000

=====

Arrangement 2

A plane-wave DFT calculation with PBE was carried out for a relaxed Ni2HgBr crystal.

The calculation puts the theoretical density at 8.59 g/cm³.

abc: 6.2235 6.2235 6.2235
angles: 150.87 138.79 51.26
Each line ends with the local moment (μB).
Atoms (fractional coordinates):
Hg: 0.2886 0.7886 0.5000  -0.01
Br: 0.5648 0.5648 0.0000  0.03
Ni: 0.7390 0.2390 0.5000  0.26
Ni: 0.9077 0.9077 0.0000  0.25

=====

List of relative energies, unit eV/atom: arrangement 1 0.108; arrangement 2 0.000

=====

Arrangement 1

A plane-wave DFT calculation with PBE was carried out for a relaxed NiHgBr4 crystal.

The calculation puts the theoretical density at 5.44 g/cm³.

abc: 6.2983 6.2983 6.2983
angles: 60.00 60.00 60.00
Each line ends with the local moment (μB).
Atoms (fractional coordinates):
Br: 0.3748 0.3748 0.8755  -0.07
Br: 0.3748 0.8755 0.3748  -0.07
Br: 0.8755 0.3748 0.3748  -0.07
Br: 0.3748 0.3748 0.3748  -0.07
Ni: 0.0000 0.0000 0.0000  0.99
Hg: 0.7500 0.7500 0.7500  0.03

=====

Arrangement 2

A plane-wave DFT calculation with PBE was carried out for a relaxed NiHgBr4 crystal.

The calculation puts the theoretical density at 5.22 g/cm³.

abc: 3.8660 6.8673 6.9398
angles: 92.05 90.00 90.00
Each line ends with the local moment (μB).
Atoms (fractional coordinates):
Hg: 0.5000 0.0000 0.5000  -0.01
Br: 0.0000 0.2225 0.3036  0.07
Br: 0.5000 0.2075 0.8647  0.16
Br: 0.0000 0.7775 0.6964  0.07
Br: 0.5000 0.7925 0.1353  0.16
Ni: 0.0000 0.0000 0.0000  1.35

=====

List of relative energies, unit eV/atom: arrangement 1 1.221; arrangement 2 0.000

=====

Arrangement 1

A plane-wave DFT calculation with PBE was carried out for a relaxed NiHgBr3 crystal.

The calculation puts the theoretical density at 4.91 g/cm³.

abc: 5.5259 5.5259 5.5259
angles: 90.00 90.00 90.00
Each line ends with the local moment (μB).
Atoms (fractional coordinates):
Hg: 0.0000 0.0000 0.0000  0.00
Ni: 0.5000 0.5000 0.5000  0.99
Br: 0.0000 0.5000 0.0000  0.01
Br: 0.0000 0.0000 0.5000  0.00
Br: 0.5000 0.0000 0.0000  0.01

=====

Arrangement 2

A plane-wave DFT calculation with PBE was carried out for a relaxed NiHgBr3 crystal.

The calculation puts the theoretical density at 6.68 g/cm³.

abc: 4.9862 4.9862 4.9862
angles: 90.00 90.00 90.00
Atoms (fractional coordinates):
Br: 0.5000 0.0000 0.0000
Br: 0.0000 0.5000 0.0000
Br: 0.0000 0.0000 0.5000
Hg: 0.5000 0.5000 0.5000
Ni: 0.0000 0.0000 0.0000

=====

List of relative energies, unit eV/atom: arrangement 1 0.584; arrangement 2 0.000

=====

Arrangement 1

A plane-wave DFT calculation with PBE was carried out for a relaxed HgBr3O crystal.

The calculation puts the theoretical density at 6.68 g/cm³.

abc: 4.8410 4.8410 4.8410
angles: 90.00 90.00 90.00
Atoms (fractional coordinates):
Hg: 0.5000 0.5000 0.5000
Br: 0.0000 0.0000 0.5000
Br: 0.5000 0.0000 0.0000
Br: 0.0000 0.5000 0.0000
O: 0.0000 0.0000 0.0000

=====

Arrangement 2

A plane-wave DFT calculation with PBE was carried out for a relaxed HgBr3O crystal.

The calculation puts the theoretical density at 4.67 g/cm³.

abc: 5.4526 5.4526 5.4526
angles: 90.00 90.00 90.00
Atoms (fractional coordinates):
Br: 0.5000 0.0000 0.0000
Br: 0.0000 0.5000 0.0000
Br: 0.0000 0.0000 0.5000
O: 0.5000 0.5000 0.5000
Hg: 0.0000 0.0000 0.0000

=====

List of relative energies, unit eV/atom: arrangement 1 0.000; arrangement 2 0.430

=====

Arrangement 1

A plane-wave DFT calculation with PBE was carried out for a relaxed HgBr2O crystal.

The calculation puts the theoretical density at 5.39 g/cm³.

abc: 7.6534 7.6534 7.6534
angles: 32.65 32.65 32.65
Atoms (fractional coordinates):
Br: 0.9063 0.9063 0.9063
Br: 0.0937 0.0937 0.0937
Hg: 0.5000 0.5000 0.5000
O: 0.0000 0.0000 0.0000

=====

Arrangement 2

A plane-wave DFT calculation with PBE was carried out for a relaxed HgBr2O crystal.

The calculation puts the theoretical density at 5.16 g/cm³.

abc: 4.3147 4.6827 6.6674
angles: 89.74 85.49 64.54
Atoms (fractional coordinates):
Hg: 0.6110 0.3812 0.5915
O: 0.2880 0.6877 0.8384
Br: 0.8204 0.8088 0.8730
Br: 0.1724 0.1674 0.3662

=====

List of relative energies, unit eV/atom: arrangement 1 0.363; arrangement 2 0.000

=====

Arrangement 1

A plane-wave DFT calculation with PBE was carried out for a relaxed HgBr2O crystal.

The calculation puts the theoretical density at 5.26 g/cm³.

abc: 6.9566 6.9566 6.9512
angles: 59.97 59.97 90.00
Atoms (fractional coordinates):
Hg: 0.7500 0.2500 0.5000
Hg: 0.0000 0.0000 0.0000
Br: 0.8750 0.6250 0.7500
Br: 0.3750 0.6250 0.2500
Br: 0.3750 0.1250 0.2500
Br: 0.3750 0.6250 0.7500
O: 0.2500 0.7500 0.5000
O: 0.5000 0.5000 0.0000

=====

Arrangement 2

A plane-wave DFT calculation with PBE was carried out for a relaxed HgBr2O crystal.

The calculation puts the theoretical density at 5.66 g/cm³.

abc: 6.5997 4.3648 15.3353
angles: 90.00 92.27 90.00
Atoms (fractional coordinates):
Br: 0.7799 0.0000 0.1861
Br: 0.2810 0.0000 0.6184
Br: 0.7190 0.0000 0.3816
Br: 0.2201 0.0000 0.8139
Br: 0.2810 0.5000 0.1184
Br: 0.2201 0.5000 0.3139
Br: 0.7190 0.5000 0.8816
Br: 0.7799 0.5000 0.6861
O: 0.7911 0.5000 0.5629
O: 0.2089 0.0000 0.9371
O: 0.7911 0.0000 0.0629
O: 0.2089 0.5000 0.4371
Hg: 0.5000 0.0000 0.0000
Hg: 0.0000 0.0000 0.5000
Hg: 0.5000 0.5000 0.5000
Hg: 0.0000 0.5000 0.0000

=====

List of relative energies, unit eV/atom: arrangement 1 0.347; arrangement 2 0.000

=====

Arrangement 1

A plane-wave DFT calculation with PBE was carried out for a relaxed HgBr2O crystal.

The calculation puts the theoretical density at 5.18 g/cm³.

abc: 5.9095 6.6289 7.1335
angles: 110.25 101.67 104.13
Atoms (fractional coordinates):
Br: 0.5945 0.2373 0.7214
Br: 0.0802 0.3314 0.2442
Br: 0.0481 0.8623 0.7086
Br: 0.3958 0.5898 0.9087
Hg: 0.8804 0.3182 0.5196
Hg: 0.0905 0.8309 0.2419
O: 0.9069 0.8971 0.4622
O: 0.2644 0.8253 0.0155

=====

Arrangement 2

A plane-wave DFT calculation with PBE was carried out for a relaxed HgBr2O crystal.

The calculation puts the theoretical density at 7.15 g/cm³.

abc: 4.9808 4.9808 4.9808
angles: 60.00 60.00 60.00
Each line ends with the local moment (μB).
Atoms (fractional coordinates):
Hg: 0.5000 0.5000 0.5000  -0.03
O: 0.0000 0.0000 0.0000  1.30
Br: 0.7500 0.7500 0.7500  0.20
Br: 0.2500 0.2500 0.2500  0.20

=====

Arrangement 3

A plane-wave DFT calculation with PBE was carried out for a relaxed HgBr2O crystal.

The calculation puts the theoretical density at 5.45 g/cm³.

abc: 4.1585 4.6972 6.0829
angles: 83.89 85.62 76.22
Atoms (fractional coordinates):
Br: 0.9346 0.8013 0.0303
Br: 0.3331 0.4877 0.6416
Hg: 0.0471 0.2339 0.4056
O: 0.7302 0.0381 0.2534

=====

List of relative energies, unit eV/atom: arrangement 1 0.000; arrangement 2 0.731; arrangement 3 0.007

=====

Arrangement 1

A plane-wave DFT calculation with PBE was carried out for a relaxed HgBrO4 crystal.

The calculation puts the theoretical density at 5.48 g/cm³.

abc: 4.7794 7.2247 12.0855
angles: 90.00 90.00 90.00
Each line ends with the local moment (μB).
Atoms (fractional coordinates):
O: 0.5711 0.4376 0.8732  0.09
O: 0.4289 0.9376 0.1268  0.09
O: 0.4289 0.4376 0.3732  0.09
O: 0.4289 0.0624 0.3732  0.09
O: 0.9008 0.7500 0.3297  0.50
O: 0.8681 0.7500 0.0569  0.11
O: 0.5711 0.5624 0.6268  0.09
O: 0.9008 0.2500 0.1703  0.50
O: 0.5711 0.9376 0.6268  0.09
O: 0.1319 0.7500 0.5569  0.11
O: 0.8681 0.2500 0.4431  0.11
O: 0.0992 0.7500 0.8297  0.50
O: 0.5711 0.0624 0.8732  0.09
O: 0.1319 0.2500 0.9431  0.11
O: 0.0992 0.2500 0.6703  0.50
O: 0.4289 0.5624 0.1268  0.09
Hg: 0.1094 0.5000 0.7500  0.10
Hg: 0.8906 0.5000 0.2500  0.10
Hg: 0.8906 0.0000 0.2500  0.10
Hg: 0.1094 0.0000 0.7500  0.10
Br: 0.4827 0.7500 0.5501  0.01
Br: 0.5173 0.2500 0.4499  0.01
Br: 0.5173 0.7500 0.0501  0.01
Br: 0.4827 0.2500 0.9499  0.01

=====

Arrangement 2

A plane-wave DFT calculation with PBE was carried out for a relaxed HgBrO4 crystal.

The calculation puts the theoretical density at 4.11 g/cm³.

abc: 5.6638 5.6638 8.9246
angles: 90.00 90.00 103.27
Each line ends with the local moment (μB).
Atoms (fractional coordinates):
O: 0.8423 0.7792 0.1523  0.05
O: 0.7792 0.8423 0.8477  0.05
O: 0.1577 0.2208 0.6523  0.05
O: 0.4002 0.8126 0.0362  0.33
O: 0.2208 0.1577 0.3477  0.05
O: 0.1874 0.5998 0.4638  0.33
O: 0.8126 0.4002 0.9638  0.33
O: 0.5998 0.1874 0.5362  0.33
Br: 0.3188 0.3188 0.5000  0.07
Br: 0.6812 0.6812 0.0000  0.07
Hg: 0.7280 0.2720 0.7500  0.01
Hg: 0.2720 0.7280 0.2500  0.01

=====

List of relative energies, unit eV/atom: arrangement 1 0.000; arrangement 2 0.070